Entry 1:
# CoSi3N

A relaxed structure of CoSi3N (GGA-PBEsol, the Alexandria database).

a b c (Å): 3.848 3.848 3.848
angles (deg): 90.00 90.00 90.00
Fractional positions:
1 Co 0.000 0.000 0.000
2 Si 0.000 0.500 0.500
3 Si 0.500 0.000 0.500
4 Si 0.500 0.500 0.000
5 N 0.500 0.500 0.500

Computed properties:
V	11.392	Å³ per atom
total moment	0.001	μB/cell
E	-6.2570	eV per atom
raw formation energy	10.23	kcal/mol of atoms

=====

Entry 2:
# Na3NbP

A relaxed structure of Na3NbP (GGA-PBEsol, the Alexandria database).

a b c (Å): 5.596 5.596 5.596
angles (deg): 90.00 90.00 90.00
Fractional positions:
1 Na 0.000 0.000 0.500
2 Na 0.000 0.500 0.000
3 Na 0.500 0.000 0.000
4 Nb 0.000 0.000 0.000
5 P 0.500 0.500 0.500

Computed properties:
V	35.046	Å³ per atom
total moment	4.561	μB/cell
E	-2.4739	eV per atom
calculated formation energy	1689	meV/atom

=====

Entry 3:
# Sr3TeW

A relaxed structure of Sr3TeW (GGA-PBEsol, the Alexandria database).

a b c (Å): 6.073 6.073 6.073
angles (deg): 90.00 90.00 90.00
Fractional positions:
1 Sr 0.000 0.000 0.500
2 Sr 0.000 0.500 0.000
3 Sr 0.500 0.000 0.000
4 Te 0.000 0.000 0.000
5 W 0.500 0.500 0.500

Computed properties:
V	44.803	Å³ per atom
total moment	5.978	μB/cell
E	-3.7518	eV per atom
raw formation energy	18.89	kcal/mol of atoms

=====

Entry 4:
# LiAg2

A relaxed structure of LiAg2 (GGA-PBEsol, the Alexandria database).

a b c (Å): 8.357 4.931 4.665
angles (deg): 90.00 90.00 90.00
Fractional positions:
1 Li 0.000 0.175 0.250
2 Li 0.000 0.825 0.750
3 Li 0.500 0.325 0.750
4 Li 0.500 0.675 0.250
5 Ag 0.168 0.339 0.750
6 Ag 0.168 0.661 0.250
7 Ag 0.332 0.161 0.250
8 Ag 0.332 0.839 0.750
9 Ag 0.668 0.161 0.250
10 Ag 0.668 0.839 0.750
11 Ag 0.832 0.339 0.750
12 Ag 0.832 0.661 0.250

Computed properties:
V	16.018	Å³ per atom
total moment	0.000	μB/cell
E	-3.0141	eV per atom
calculated formation energy	-151	meV/atom
energy relative to the lowest polymorph listed for this composition	8.6	meV/atom

=====

Entry 5:
# BeSb2W

A relaxed structure of BeSb2W (GGA-PBEsol, the Alexandria database).

a b c (Å): 3.484 11.904 7.978
angles (deg): 90.00 90.00 90.00
Fractional positions:
1 Be 0.000 0.000 0.000
2 Be 0.000 0.500 0.500
3 Be 0.500 0.000 0.500
4 Be 0.500 0.500 0.000
5 Sb 0.000 0.136 0.391
6 Sb 0.000 0.364 0.891
7 Sb 0.000 0.636 0.891
8 Sb 0.000 0.864 0.391
9 Sb 0.500 0.136 0.891
10 Sb 0.500 0.364 0.391
11 Sb 0.500 0.636 0.391
12 Sb 0.500 0.864 0.891
13 W 0.000 0.000 0.703
14 W 0.000 0.500 0.203
15 W 0.500 0.000 0.203
16 W 0.500 0.500 0.703

Computed properties:
V	20.677	Å³ per atom
total moment	0.002	μB/cell
E	-6.3047	eV per atom
raw formation energy	9.82	kcal/mol of atoms

=====

Entry 6:
# MgSbCl

A relaxed structure of MgSbCl (GGA-PBEsol, the Alexandria database).

a b c (Å): 6.813 6.813 6.813
angles (deg): 90.00 90.00 90.00
Fractional positions:
1 Mg 0.000 0.000 0.000
2 Mg 0.000 0.500 0.500
3 Mg 0.500 0.000 0.500
4 Mg 0.500 0.500 0.000
5 Sb 0.000 0.000 0.500
6 Sb 0.000 0.500 0.000
7 Sb 0.500 0.000 0.000
8 Sb 0.500 0.500 0.500
9 Cl 0.250 0.250 0.750
10 Cl 0.250 0.750 0.250
11 Cl 0.750 0.250 0.250
12 Cl 0.750 0.750 0.750

Computed properties:
V	26.359	Å³ per atom
total moment	0.004	μB/cell
E	-2.5451	eV per atom
raw formation energy	4.97	kcal/mol of atoms
energy relative to the lowest polymorph listed for this composition	1079.1	meV/atom

=====

Entry 7:
# KRb3Ag

A relaxed structure of KRb3Ag (GGA-PBEsol, the Alexandria database).

a b c (Å): 7.548 7.548 7.548
angles (deg): 90.00 90.00 90.00
Fractional positions:
1 K 0.000 0.000 0.000
2 Rb 0.000 0.000 0.500
3 Rb 0.000 0.500 0.000
4 Rb 0.500 0.000 0.000
5 Ag 0.500 0.500 0.500

Computed properties:
V	85.991	Å³ per atom
total moment	0.000	μB/cell
E	-0.9367	eV per atom
calculated formation energy	567	meV/atom
energy relative to the lowest polymorph listed for this composition	449.6	meV/atom

=====

Entry 8:
# ZrScTl2

A relaxed structure of ZrScTl2 (GGA-PBEsol, the Alexandria database).

a b c (Å): 3.327 3.327 28.861
angles (deg): 90.00 90.00 120.00
Fractional positions:
1 Zr 0.000 0.000 0.000
2 Zr 0.333 0.667 0.667
3 Zr 0.667 0.333 0.333
4 Sc 0.000 0.000 0.500
5 Sc 0.333 0.667 0.167
6 Sc 0.667 0.333 0.833
7 Tl 0.000 0.000 0.249
8 Tl 0.000 0.000 0.751
9 Tl 0.333 0.667 0.418
10 Tl 0.333 0.667 0.915
11 Tl 0.667 0.333 0.085
12 Tl 0.667 0.333 0.582

Computed properties:
V	23.049	Å³ per atom
total moment	0.004	μB/cell
E	-5.3918	eV per atom
calculated formation energy	-153	meV/atom

=====

Entry 9:
# LuTlO2

A relaxed structure of LuTlO2 (GGA-PBEsol, the Alexandria database).

a b c (Å): 3.356 3.356 19.142
angles (deg): 90.00 90.00 120.00
Fractional positions:
1 Lu 0.000 0.000 0.000
2 Lu 0.333 0.667 0.667
3 Lu 0.667 0.333 0.333
4 Tl 0.000 0.000 0.500
5 Tl 0.333 0.667 0.167
6 Tl 0.667 0.333 0.833
7 O 0.000 0.000 0.277
8 O 0.000 0.000 0.723
9 O 0.333 0.667 0.390
10 O 0.333 0.667 0.944
11 O 0.667 0.333 0.056
12 O 0.667 0.333 0.610

Computed properties:
V	15.558	Å³ per atom
total moment	0.000	μB/cell
E	-6.9702	eV per atom
raw formation energy	-56.96	kcal/mol of atoms

=====

Entry 10:
# Cu8SiS6

A relaxed structure of Cu8SiS6 (GGA-PBEsol, the Alexandria database).

a b c (Å): 6.896 6.758 9.514
angles (deg): 90.00 90.00 90.00
Fractional positions:
1 Cu 0.000 0.107 0.000
2 Cu 0.000 0.230 0.557
3 Cu 0.201 0.028 0.773
4 Cu 0.207 0.608 0.180
5 Cu 0.208 0.657 0.880
6 Cu 0.292 0.343 0.380
7 Cu 0.293 0.392 0.680
8 Cu 0.299 0.972 0.273
9 Cu 0.500 0.770 0.057
10 Cu 0.500 0.893 0.500
11 Cu 0.701 0.972 0.273
12 Cu 0.707 0.392 0.680
13 Cu 0.708 0.343 0.380
14 Cu 0.792 0.657 0.880
15 Cu 0.793 0.608 0.180
16 Cu 0.799 0.028 0.773
17 Si 0.000 0.753 0.522
18 Si 0.500 0.247 0.022
19 S 0.000 0.294 0.790
20 S 0.000 0.502 0.386
21 S 0.000 0.774 0.035
22 S 0.000 0.998 0.387
23 S 0.243 0.254 0.142
24 S 0.257 0.746 0.642
25 S 0.500 0.002 0.887
26 S 0.500 0.226 0.535
27 S 0.500 0.498 0.886
28 S 0.500 0.706 0.290
29 S 0.743 0.746 0.642
30 S 0.757 0.254 0.142

Computed properties:
V	14.780	Å³ per atom
total moment	0.000	μB/cell
E	-4.7188	eV per atom
raw formation energy	-6.24	kcal/mol of atoms

=====

Entry 11:
# Ag2MoO4

A relaxed structure of Ag2MoO4 (GGA-PBEsol, the Alexandria database).

a b c (Å): 6.507 6.507 6.507
angles (deg): 60.00 60.00 60.00
Fractional positions:
1 Ag 0.000 0.000 0.000
2 Ag 0.000 0.000 0.500
3 Ag 0.000 0.500 0.000
4 Ag 0.500 0.000 0.000
5 Mo 0.375 0.375 0.375
6 Mo 0.625 0.625 0.625
7 O 0.263 0.263 0.263
8 O 0.263 0.263 0.710
9 O 0.263 0.710 0.263
10 O 0.290 0.737 0.737
11 O 0.710 0.263 0.263
12 O 0.737 0.290 0.737
13 O 0.737 0.737 0.290
14 O 0.737 0.737 0.737

Computed properties:
V	13.914	Å³ per atom
total moment	0.001	μB/cell
E	-6.7537	eV per atom
raw formation energy	-25.99	kcal/mol of atoms

=====

Entry 12:
# CaZnP2

A relaxed structure of CaZnP2 (GGA-PBEsol, the Alexandria database).

a b c (Å): 7.137 7.137 5.806
angles (deg): 90.00 90.00 90.00
Fractional positions:
1 Ca 0.000 0.000 0.000
2 Ca 0.000 0.500 0.250
3 Ca 0.500 0.000 0.750
4 Ca 0.500 0.500 0.500
5 Zn 0.000 0.000 0.500
6 Zn 0.000 0.500 0.750
7 Zn 0.500 0.000 0.250
8 Zn 0.500 0.500 0.000
9 P 0.199 0.250 0.625
10 P 0.250 0.699 0.875
11 P 0.250 0.801 0.375
12 P 0.301 0.250 0.125
13 P 0.699 0.750 0.125
14 P 0.750 0.199 0.375
15 P 0.750 0.301 0.875
16 P 0.801 0.750 0.625

Computed properties:
V	18.486	Å³ per atom
total moment	0.000	μB/cell
E	-4.2432	eV per atom
calculated formation energy	-419	meV/atom

=====

- Which value of V does entry 6 give?
  26.359 Å³ per atom

=====

- What is the V in the first record?
  11.392 Å³ per atom

=====

- What is the total moment in the seventh record?
  0.000 μB/cell

=====

Please write out number 5 again, unchanged.
# BeSb2W

A relaxed structure of BeSb2W (GGA-PBEsol, the Alexandria database).

a b c (Å): 3.484 11.904 7.978
angles (deg): 90.00 90.00 90.00
Fractional positions:
1 Be 0.000 0.000 0.000
2 Be 0.000 0.500 0.500
3 Be 0.500 0.000 0.500
4 Be 0.500 0.500 0.000
5 Sb 0.000 0.136 0.391
6 Sb 0.000 0.364 0.891
7 Sb 0.000 0.636 0.891
8 Sb 0.000 0.864 0.391
9 Sb 0.500 0.136 0.891
10 Sb 0.500 0.364 0.391
11 Sb 0.500 0.636 0.391
12 Sb 0.500 0.864 0.891
13 W 0.000 0.000 0.703
14 W 0.000 0.500 0.203
15 W 0.500 0.000 0.203
16 W 0.500 0.500 0.703

Computed properties:
V	20.677	Å³ per atom
total moment	0.002	μB/cell
E	-6.3047	eV per atom
raw formation energy	9.82	kcal/mol of atoms